Record 1
# PaIr3 (GGA-PBE, optimized geometry)
data_PaIr3
_cell_length_a 4.097
_cell_length_b 4.097
_cell_length_c 8.227
_cell_angle_alpha 90.00
_cell_angle_beta 90.00
_cell_angle_gamma 90.00
_space_group_name_H-M_alt 'I 4/m m m'
_space_group_IT_number 139
_space_group_name_Hall '-I 4 2'
loop_
_atom_site_label
_atom_site_type_symbol
_atom_site_fract_x
_atom_site_fract_y
_atom_site_fract_z
Pa1 Pa 0.000 0.000 0.000
Ir1 Ir 0.000 0.000 0.500
Ir2 Ir 0.000 0.500 0.250
# Formation enthalpy at 0 K ... -0.5921 eV/atom

Record 2
# PaIr (GGA-PBE, optimized geometry)
data_PaIr
_cell_length_a 5.697
_cell_length_b 5.484
_cell_length_c 5.802
_cell_angle_alpha 90.00
_cell_angle_beta 100.86
_cell_angle_gamma 90.00
_space_group_name_H-M_alt 'C 1 2/m 1'
_space_group_IT_number 12
loop_
_space_group_symop_operation_xyz
'x,y,z'
'-x,-y,-z'
'-x,y,-z'
'x,-y,z'
'x+1/2,y+1/2,z'
'-x+1/2,-y+1/2,-z'
'-x+1/2,y+1/2,-z'
'x+1/2,-y+1/2,z'
loop_
_atom_site_label
_atom_site_type_symbol
_atom_site_fract_x
_atom_site_fract_y
_atom_site_fract_z
Pa1 Pa 0.205 0.000 0.272
Ir1 Ir 0.197 0.500 0.223
# Formation enthalpy at 0 K ... -0.8491 eV/atom

Record 3
# Pa3Ir (GGA-PBE, optimized geometry)
data_Pa3Ir
_cell_length_a 5.244
_cell_length_b 5.244
_cell_length_c 3.181
_cell_angle_alpha 90.00
_cell_angle_beta 90.00
_cell_angle_gamma 90.00
_space_group_name_H-M_alt 'P 4/m m m'
_space_group_IT_number 123
_space_group_name_Hall '-P 4 2'
loop_
_atom_site_label
_atom_site_type_symbol
_atom_site_fract_x
_atom_site_fract_y
_atom_site_fract_z
Pa1 Pa 0.000 0.000 0.000
Pa2 Pa 0.000 0.500 0.500
Ir1 Ir 0.500 0.500 0.000
# Formation enthalpy at 0 K ... -0.3257 eV/atom
# E above lowest polymorph ... 0.0600 eV per atom